The following is a DFT calculation (PBE) of a relaxed structure of HfNbGe.

Unit cell a=3.839 b=3.844 c=7.529 alpha=90.00 beta=90.00 gamma=90.00
Space group Pmm2 (No. 25)
Symmetry-distinct sites (fractional):
Hf  0.000  0.000  0.000 [1 per cell]
Hf  0.500  0.000  0.368 [1 per cell]
Nb  0.000  0.500  0.637 [1 per cell]
Nb  0.500  0.500  0.000 [1 per cell]
Ge  0.000  0.500  0.274 [1 per cell]
Ge  0.500  0.000  0.729 [1 per cell]

E_form = -0.471 eV per atom
total energy = -0.638 Ry/atom